The following is a PBE calculation of a relaxed BeIn2Ru crystal, from Alexandria.

Lattice parameters (Å, degrees): 4.964 4.964 4.964 132.00 132.01 70.22
Fractional positions:
In (0.500, 0.500, 0.000)
In (0.000, 0.000, 0.000)
Be (0.250, 0.750, 0.500)
Ru (0.750, 0.250, 0.500)

Output
Magnetic moment in μB/cell: 0.00
Symmetry: I4/mmm
Energy relative to the elements in eV/f.u.: 0.984
Theoretical density in g/cm3: 8.52